# 1
VASP calculation (PBE-GGA) on a relaxed DyZnGaAu crystal.

Cell: 4.796 4.796 4.796 Å, 60.00 60.00 60.00°
Fractional positions:
Zn  0.250  0.250  0.250
Au  0.750  0.750  0.750
Ga  0.500  0.500  0.500
Dy  0.000  0.000  0.000

calculated formation energy = -2.0 eV/f.u.
space-group type = No. 216



# 2
VASP calculation (PBE-GGA) on a relaxed LiPuNpOs crystal.

Cell: 4.538 4.538 4.538 Å, 60.00 60.00 60.00°
Each line ends with the local moment (μB).
Fractional positions:
Np  0.250  0.250  0.250  -1.90
Li  0.750  0.750  0.750  -0.01
Os  0.000  0.000  0.000  0.00
Pu  0.500  0.500  0.500  3.80

calculated formation energy = 0.6 eV/f.u.
space-group type = No. 216



# 3
VASP calculation (PBE-GGA) on a relaxed BaFeHgBi2 crystal.

Cell: 6.473 4.962 6.473 Å, 90.00 90.00 90.00°
Each line ends with the local moment (μB).
Fractional positions:
Fe  0.000  0.500  0.000  -0.12
Ba  0.000  0.000  0.000  -0.01
Bi  0.000  0.000  0.500  -0.01
Bi  0.500  0.000  0.000  0.01
Hg  0.500  0.500  0.500  0.00

calculated formation energy = 7.4 eV/f.u.
space-group type = No. 123



# 4
VASP calculation (PBE-GGA) on a relaxed Ba3Ce5Bi12 crystal.

Cell: 16.893 16.893 16.893 Å, 109.47 109.47 109.47°
Each line ends with the local moment (μB).
Fractional positions:
Ba  0.750  0.375  0.125  0.00
Ba  0.875  0.750  0.125  0.00
Ba  0.375  0.750  0.625  0.00
Ba  0.250  0.125  0.375  0.00
Ba  0.875  0.125  0.250  0.00
Ba  0.375  0.625  0.250  0.00
Ba  0.625  0.375  0.750  0.00
Ba  0.125  0.875  0.750  0.00
Ba  0.750  0.875  0.625  0.00
Ba  0.625  0.250  0.375  0.00
Ba  0.125  0.250  0.875  0.00
Ba  0.250  0.625  0.875  0.00
Ce  0.125  0.375  0.250  0.85
Ce  0.000  0.500  0.000  -0.32
Ce  0.000  0.000  0.000  -0.32
Ce  0.375  0.250  0.125  0.85
Ce  0.500  0.000  0.500  -0.32
Ce  0.500  0.500  0.000  -0.32
Ce  0.125  0.750  0.375  0.85
Ce  0.750  0.125  0.875  0.85
Ce  0.750  0.625  0.375  0.85
Ce  0.375  0.125  0.750  0.85
Ce  0.625  0.875  0.250  0.85
Ce  0.500  0.500  0.500  -0.32
Ce  0.500  0.000  0.000  -0.32
Ce  0.000  0.000  0.500  -0.32
Ce  0.250  0.375  0.625  0.85
Ce  0.250  0.875  0.125  0.85
Ce  0.000  0.500  0.500  -0.32
Ce  0.875  0.250  0.625  0.85
Ce  0.625  0.750  0.875  0.85
Ce  0.875  0.625  0.750  0.85
Bi  0.710  0.074  0.027  -0.01
Bi  0.316  0.527  0.452  -0.01
Bi  0.973  0.426  0.290  -0.01
Bi  0.527  0.210  0.074  -0.01
Bi  0.636  0.710  0.684  -0.01
Bi  0.973  0.548  0.184  -0.01
Bi  0.316  0.790  0.364  -0.01
Bi  0.048  0.864  0.074  -0.01
Bi  0.548  0.973  0.684  -0.01
Bi  0.710  0.636  0.184  -0.01
Bi  0.790  0.473  0.426  -0.01
Bi  0.816  0.952  0.027  -0.01
Bi  0.074  0.710  0.527  -0.01
Bi  0.426  0.452  0.136  -0.01
Bi  0.136  0.952  0.426  -0.01
Bi  0.364  0.074  0.548  -0.01
Bi  0.136  0.184  0.210  -0.01
Bi  0.473  0.684  0.048  -0.01
Bi  0.816  0.864  0.290  -0.01
Bi  0.074  0.364  0.048  -0.01
Bi  0.426  0.973  0.790  -0.01
Bi  0.548  0.574  0.364  -0.01
Bi  0.952  0.816  0.527  -0.01
Bi  0.790  0.316  0.864  -0.01
Bi  0.452  0.426  0.636  -0.01
Bi  0.048  0.184  0.473  -0.01
Bi  0.210  0.684  0.136  -0.01
Bi  0.184  0.136  0.710  -0.01
Bi  0.574  0.027  0.210  -0.01
Bi  0.926  0.636  0.952  -0.01
Bi  0.527  0.316  0.952  -0.01
Bi  0.636  0.926  0.452  -0.01
Bi  0.864  0.816  0.790  -0.01
Bi  0.864  0.048  0.574  -0.01
Bi  0.926  0.290  0.473  -0.01
Bi  0.184  0.048  0.973  -0.01
Bi  0.574  0.548  0.864  -0.01
Bi  0.452  0.027  0.316  -0.01
Bi  0.290  0.364  0.816  -0.01
Bi  0.210  0.527  0.574  -0.01
Bi  0.952  0.136  0.926  -0.01
Bi  0.684  0.210  0.636  -0.01
Bi  0.473  0.790  0.926  -0.01
Bi  0.027  0.452  0.816  -0.01
Bi  0.364  0.290  0.316  -0.01
Bi  0.027  0.574  0.710  -0.01
Bi  0.684  0.473  0.548  -0.01
Bi  0.290  0.926  0.973  -0.01

calculated formation energy = -4.2 eV/f.u.
space-group type = No. 230



# 5
VASP calculation (PBE-GGA) on a relaxed MgZrSnRh crystal.

Cell: 4.770 4.770 4.770 Å, 60.00 60.00 60.00°
Fractional positions:
Mg  0.250  0.250  0.250
Rh  0.000  0.000  0.000
Sn  0.500  0.500  0.500
Zr  0.750  0.750  0.750

calculated formation energy = -1.8 eV/f.u.
space-group type = No. 216



# 6
VASP calculation (PBE-GGA) on a relaxed Ca2ZrNbO6 crystal.

Cell: 4.193 5.823 5.823 Å, 90.00 90.00 90.00°
Fractional positions:
Ca  0.012  0.500  0.000
Ca  0.012  0.000  0.500
Zr  0.638  0.000  0.000
Nb  0.638  0.500  0.500
O  0.703  0.254  0.254
O  0.703  0.254  0.746
O  0.175  0.500  0.500
O  0.160  0.000  0.000
O  0.703  0.746  0.746
O  0.703  0.746  0.254

excess energy over the best structure of this formula in the dataset = 0.0 meV/atom
space-group type = No. 99



# 7
VASP calculation (PBE-GGA) on a relaxed LiMg2Zn crystal.

Cell: 4.591 2.983 5.720 Å, 75.38 90.00 90.00°
Fractional positions:
Zn  0.000  0.677  0.499
Mg  0.000  0.958  0.967
Mg  0.500  0.289  0.285
Li  0.500  0.575  0.749

calculated formation energy = -0.3 eV/f.u.
space-group type = No. 6



# 8
VASP calculation (PBE-GGA) on a relaxed Nd4DyHo3Te8 crystal.

Cell: 8.733 8.952 8.733 Å, 119.19 120.00 90.00°
Fractional positions:
Nd  0.500  0.000  0.000
Nd  0.500  0.000  0.500
Nd  0.000  0.000  0.000
Nd  0.000  0.000  0.500
Dy  0.000  0.500  0.000
Ho  0.500  0.500  0.000
Ho  0.500  0.500  0.500
Ho  0.000  0.500  0.500
Te  0.246  0.736  0.990
Te  0.246  0.736  0.492
Te  0.255  0.264  0.510
Te  0.745  0.736  0.990
Te  0.255  0.264  0.010
Te  0.745  0.736  0.490
Te  0.754  0.264  0.508
Te  0.754  0.264  0.010

E = -83.99 eV per cell
space-group type = No. 166